The following is a DFT calculation (PBE-GGA) of a relaxed NbNClF2 crystal.

Its density of states at the Fermi level is 3.6 states/eV per cell. For the total moment, the calculation gives 0.00 μB per atom. The density comes out at 4288 kg/m3. As for the raw total energy: -0.2188 Ha/atom. As for the uncorrected formation energy: -5.78 eV per formula unit.

Cell: 4.1450 4.1450 4.0649 Å, 90.00 90.00 90.00°
With the nearest neighbours (Å) after each atom.
Space group P4/mmm (No. 123)
Inequivalent atoms, fractional coordinates:
Nb 0.0000 0.0000 0.0000  2 N 2.03, 4 F 2.07
N 0.0000 0.0000 0.5000  2 Nb 2.03
Cl 0.5000 0.5000 0.5000  8 F 2.90, 4 N 2.93
F 0.0000 0.5000 0.0000  2 Nb 2.07